## YInAu (PBE)

Data for YInAu after structural relaxation.

SG: P-62m, No. 189
Total DFT energy (no corrections), eV/atom: -4.74

Cell lengths 7.354, 7.354, 4.489 Å; angles 90.00, 90.00, 120.00 degrees
Fractional coordinates of all 9 atoms:
Au 0.247 0.000 0.000
Au 0.000 0.247 0.000
Au 0.753 0.753 0.000
In 0.667 0.333 0.000
In 0.333 0.667 0.000
In 0.000 0.000 0.500
Y 0.570 0.000 0.500
Y 0.430 0.430 0.500
Y 0.000 0.570 0.500